A geometry-optimized K2BaCo structure, computed with GGA-PBE.

Cell and atoms, written as CIF:
```
data_K2BaCo
_chemical_formula_sum 'K4 Ba2 Co2'
_space_group_name_H-M_alt 'C m m m'
_space_group_IT_number 65
_space_group_name_Hall '-C 2 2'
_cell_length_a 5.925
_cell_length_b 5.939
_cell_length_c 10.994
_cell_angle_alpha 90.00
_cell_angle_beta 90.00
_cell_angle_gamma 90.00
loop_
_atom_site_label
_atom_site_type_symbol
_atom_site_fract_x
_atom_site_fract_y
_atom_site_fract_z
K1 K 0.000 0.000 0.171
Ba1 Ba 0.000 0.500 0.500
Co1 Co 0.000 0.500 0.000
```

N(E_F)   2.184 states/eV/atom
E_form   0.8060 eV/atom


A geometry-optimized Pm2Pd3Pt2 structure, computed with GGA-PBE.

Cell and atoms, written as CIF:
```
data_Pm2Pd3Pt2
_chemical_formula_sum 'Pm4 Pd6 Pt4'
_space_group_name_H-M_alt 'C 1 2/m 1'
_space_group_IT_number 12
_space_group_name_Hall '-C 2y'
_cell_length_a 9.796
_cell_length_b 4.089
_cell_length_c 8.345
_cell_angle_alpha 90.00
_cell_angle_beta 118.69
_cell_angle_gamma 90.00
loop_
_atom_site_label
_atom_site_type_symbol
_atom_site_fract_x
_atom_site_fract_y
_atom_site_fract_z
Pm1 Pm 0.199 0.000 0.266
Pd1 Pd 0.000 0.500 0.000
Pd2 Pd 0.019 0.500 0.349
Pt1 Pt 0.155 0.000 0.895
```

N(E_F)   0.557 states/eV/atom
E_form   -0.6758 eV/atom


A geometry-optimized KAlTeS4 structure, computed with GGA-PBE.

Cell and atoms, written as CIF:
```
data_KAlTeS4
_chemical_formula_sum 'K2 Al2 Te2 S8'
_space_group_name_H-M_alt 'P 1 21/m 1'
_space_group_IT_number 11
_space_group_name_Hall '-P 2yb'
_cell_length_a 6.848
_cell_length_b 7.060
_cell_length_c 8.729
_cell_angle_alpha 90.00
_cell_angle_beta 107.29
_cell_angle_gamma 90.00
loop_
_atom_site_label
_atom_site_type_symbol
_atom_site_fract_x
_atom_site_fract_y
_atom_site_fract_z
K1 K 0.246 0.250 0.456
Al1 Al 0.236 0.750 0.164
Te1 Te 0.271 0.250 0.998
S1 S 0.004 0.750 0.295
S2 S 0.025 0.750 0.906
S3 S 0.458 0.504 0.209
```

Formation energy (no corrections)   -0.631 eV/atom


A geometry-optimized Pr2NpAgTe5 structure, computed with GGA-PBE.

Cell and atoms, written as CIF:
```
data_Pr2NpAgTe5
_chemical_formula_sum 'Pr8 Np4 Ag4 Te20'
_space_group_name_H-M_alt 'C m c 21'
_space_group_IT_number 36
_space_group_name_Hall 'C 2c -2'
_cell_length_a 4.426
_cell_length_b 18.980
_cell_length_c 13.414
_cell_angle_alpha 90.00
_cell_angle_beta 90.00
_cell_angle_gamma 90.00
loop_
_atom_site_label
_atom_site_type_symbol
_atom_site_fract_x
_atom_site_fract_y
_atom_site_fract_z
Pr1 Pr 0.000 0.112 0.000
Pr2 Pr 0.000 0.126 0.620
Np1 Np 0.000 0.195 0.322
Ag1 Ag 0.000 0.434 0.773
Te1 Te 0.000 0.044 0.390
Te2 Te 0.000 0.288 0.983
Te3 Te 0.000 0.306 0.655
Te4 Te 0.000 0.361 0.314
Te5 Te 0.000 0.499 0.091
```

Formation energy (no corrections)   -0.977 eV/atom
N(E_F)   0.954 states/eV/atom


A geometry-optimized BeCoBTe structure, computed with GGA-PBE.

Cell and atoms, written as CIF:
```
data_BeCoBTe
_chemical_formula_sum 'Be2 Co2 B2 Te2'
_space_group_name_H-M_alt 'I 4 m m'
_space_group_IT_number 107
_space_group_name_Hall 'I 4 -2'
_cell_length_a 2.827
_cell_length_b 2.827
_cell_length_c 15.622
_cell_angle_alpha 90.00
_cell_angle_beta 90.00
_cell_angle_gamma 90.00
loop_
_atom_site_label
_atom_site_type_symbol
_atom_site_fract_x
_atom_site_fract_y
_atom_site_fract_z
Be1 Be 0.000 0.000 0.000
Co1 Co 0.000 0.000 0.405
B1 B 0.000 0.000 0.877
Te1 Te 0.000 0.000 0.156
```

Formation energy (no corrections)   0.340 eV/atom
N(E_F)   0.732 states/eV/atom


A geometry-optimized CuPPt2 structure, computed with GGA-PBE.

Cell and atoms, written as CIF:
```
data_CuPPt2
_chemical_formula_sum 'Cu4 P4 Pt8'
_space_group_name_H-M_alt 'I -4 2 d'
_space_group_IT_number 122
_space_group_name_Hall 'I -4 2bw'
_cell_length_a 6.876
_cell_length_b 6.876
_cell_length_c 5.268
_cell_angle_alpha 90.00
_cell_angle_beta 90.00
_cell_angle_gamma 90.00
loop_
_atom_site_label
_atom_site_type_symbol
_atom_site_fract_x
_atom_site_fract_y
_atom_site_fract_z
Cu1 Cu 0.000 0.000 0.000
P1 P 0.000 0.000 0.500
Pt1 Pt 0.197 0.750 0.625
```

N(E_F)   0.375 states/eV/atom
E_form   -0.1264 eV/atom


A geometry-optimized BeAlZn structure, computed with GGA-PBE.

Cell and atoms, written as CIF:
```
data_BeAlZn
_chemical_formula_sum 'Be2 Al2 Zn2'
_space_group_name_H-M_alt 'I 4 m m'
_space_group_IT_number 107
_space_group_name_Hall 'I 4 -2'
_cell_length_a 2.786
_cell_length_b 2.786
_cell_length_c 10.353
_cell_angle_alpha 90.00
_cell_angle_beta 90.00
_cell_angle_gamma 90.00
loop_
_atom_site_label
_atom_site_type_symbol
_atom_site_fract_x
_atom_site_fract_y
_atom_site_fract_z
Be1 Be 0.000 0.000 0.000
Al1 Al 0.000 0.000 0.352
Zn1 Zn 0.000 0.000 0.649
```

N(E_F)   0.141 states/eV/atom
E_form   0.1955 eV/atom


A geometry-optimized CoSn3 structure, computed with GGA-PBE.

Cell and atoms, written as CIF:
```
data_CoSn3
_chemical_formula_sum 'Co8 Sn24'
_space_group_name_H-M_alt 'C m c e'
_space_group_IT_number 64
_space_group_name_Hall '-C 2ac 2'
_cell_length_a 17.032
_cell_length_b 6.286
_cell_length_c 6.304
_cell_angle_alpha 90.00
_cell_angle_beta 90.00
_cell_angle_gamma 90.00
loop_
_atom_site_label
_atom_site_type_symbol
_atom_site_fract_x
_atom_site_fract_y
_atom_site_fract_z
Co1 Co 0.080 0.000 0.000
Sn1 Sn 0.000 0.164 0.336
Sn2 Sn 0.165 0.184 0.683
```

N(E_F)   0.524 states/eV/atom
E_form   -0.0577 eV/atom


A geometry-optimized Hf2FeSi structure, computed with GGA-PBE.

Cell and atoms, written as CIF:
```
data_Hf2FeSi
_chemical_formula_sum 'Hf8 Fe4 Si4'
_space_group_name_H-M_alt 'C 1 2 1'
_space_group_IT_number 5
_space_group_name_Hall 'C 2y'
_cell_length_a 5.386
_cell_length_b 11.000
_cell_length_c 5.083
_cell_angle_alpha 90.00
_cell_angle_beta 116.20
_cell_angle_gamma 90.00
loop_
_atom_site_label
_atom_site_type_symbol
_atom_site_fract_x
_atom_site_fract_y
_atom_site_fract_z
Hf1 Hf 0.000 0.000 0.000
Hf2 Hf 0.000 0.341 0.500
Hf3 Hf 0.181 0.591 0.340
Fe1 Fe 0.000 0.414 0.000
Fe2 Fe 0.000 0.890 0.500
Si1 Si 0.224 0.750 0.893
```

Formation energy (no corrections)   -0.362 eV/atom
N(E_F)   0.855 states/eV/atom


A geometry-optimized SbRu3Au structure, computed with GGA-PBE.

Cell and atoms, written as CIF:
```
data_SbRu3Au
_chemical_formula_sum 'Sb1 Ru3 Au1'
_space_group_name_H-M_alt 'P m -3 m'
_space_group_IT_number 221
_space_group_name_Hall '-P 4 2 3'
_cell_length_a 4.818
_cell_length_b 4.818
_cell_length_c 4.818
_cell_angle_alpha 90.00
_cell_angle_beta 90.00
_cell_angle_gamma 90.00
loop_
_atom_site_label
_atom_site_type_symbol
_atom_site_fract_x
_atom_site_fract_y
_atom_site_fract_z
Sb1 Sb 0.000 0.000 0.000
Ru1 Ru 0.000 0.000 0.500
Au1 Au 0.500 0.500 0.500
```

Formation energy (no corrections)   1.619 eV/atom
N(E_F)   0.832 states/eV/atom


A geometry-optimized TlSnHg2Sb structure, computed with GGA-PBE.

Cell and atoms, written as CIF:
```
data_TlSnHg2Sb
_chemical_formula_sum 'Tl4 Sn4 Hg8 Sb4'
_space_group_name_H-M_alt 'C m c m'
_space_group_IT_number 63
_space_group_name_Hall '-C 2c 2'
_cell_length_a 4.126
_cell_length_b 15.700
_cell_length_c 9.395
_cell_angle_alpha 90.00
_cell_angle_beta 90.00
_cell_angle_gamma 90.00
loop_
_atom_site_label
_atom_site_type_symbol
_atom_site_fract_x
_atom_site_fract_y
_atom_site_fract_z
Tl1 Tl 0.000 0.167 0.250
Sn1 Sn 0.000 0.000 0.000
Hg1 Hg 0.000 0.187 0.591
Sb1 Sb 0.000 0.497 0.250
```

Formation energy (no corrections)   0.055 eV/atom
N(E_F)   0.368 states/eV/atom


A geometry-optimized CdSi2P structure, computed with GGA-PBE.

Cell and atoms, written as CIF:
```
data_CdSi2P
_chemical_formula_sum 'Cd2 Si4 P2'
_space_group_name_H-M_alt 'I -4 m 2'
_space_group_IT_number 119
_space_group_name_Hall 'I -4 -2'
_cell_length_a 3.881
_cell_length_b 3.881
_cell_length_c 9.448
_cell_angle_alpha 90.00
_cell_angle_beta 90.00
_cell_angle_gamma 90.00
loop_
_atom_site_label
_atom_site_type_symbol
_atom_site_fract_x
_atom_site_fract_y
_atom_site_fract_z
Cd1 Cd 0.000 0.000 0.000
Si1 Si 0.000 0.000 0.500
Si2 Si 0.000 0.500 0.250
P1 P 0.000 0.500 0.750
```

Formation energy (no corrections)   0.630 eV/atom
N(E_F)   0.297 states/eV/atom


A geometry-optimized KLiNiGe2 structure, computed with GGA-PBE.

Cell and atoms, written as CIF:
```
data_KLiNiGe2
_chemical_formula_sum 'K1 Li1 Ni1 Ge2'
_space_group_name_H-M_alt 'P 4/m m m'
_space_group_IT_number 123
_space_group_name_Hall '-P 4 2'
_cell_length_a 4.696
_cell_length_b 4.696
_cell_length_c 4.593
_cell_angle_alpha 90.00
_cell_angle_beta 90.00
_cell_angle_gamma 90.00
loop_
_atom_site_label
_atom_site_type_symbol
_atom_site_fract_x
_atom_site_fract_y
_atom_site_fract_z
K1 K 0.000 0.000 0.000
Li1 Li 0.500 0.500 0.500
Ni1 Ni 0.500 0.500 0.000
Ge1 Ge 0.000 0.500 0.500
```

N(E_F)   0.571 states/eV/atom
E_form   0.4920 eV/atom


A geometry-optimized ZrTc4Ru structure, computed with GGA-PBE.

Cell and atoms, written as CIF:
```
data_ZrTc4Ru
_chemical_formula_sum 'Zr4 Tc16 Ru4'
_space_group_name_H-M_alt 'F -4 3 m'
_space_group_IT_number 216
_space_group_name_Hall 'F -4 2 3'
_cell_length_a 7.292
_cell_length_b 7.292
_cell_length_c 7.292
_cell_angle_alpha 90.00
_cell_angle_beta 90.00
_cell_angle_gamma 90.00
loop_
_atom_site_label
_atom_site_type_symbol
_atom_site_fract_x
_atom_site_fract_y
_atom_site_fract_z
Zr1 Zr 0.000 0.000 0.000
Tc1 Tc 0.126 0.126 0.374
Ru1 Ru 0.250 0.250 0.750
```

N(E_F)   1.366 states/eV/atom
E_form   0.0523 eV/atom


A geometry-optimized SrNb2Se structure, computed with GGA-PBE.

Cell and atoms, written as CIF:
```
data_SrNb2Se
_chemical_formula_sum 'Sr4 Nb8 Se4'
_space_group_name_H-M_alt 'I -4 2 d'
_space_group_IT_number 122
_space_group_name_Hall 'I -4 2bw'
_cell_length_a 4.522
_cell_length_b 4.522
_cell_length_c 20.037
_cell_angle_alpha 90.00
_cell_angle_beta 90.00
_cell_angle_gamma 90.00
loop_
_atom_site_label
_atom_site_type_symbol
_atom_site_fract_x
_atom_site_fract_y
_atom_site_fract_z
Sr1 Sr 0.000 0.000 0.000
Nb1 Nb 0.100 0.750 0.625
Se1 Se 0.000 0.000 0.500
```

Formation energy (no corrections)   0.254 eV/atom
N(E_F)   0.955 states/eV/atom


A geometry-optimized PrErRu2 structure, computed with GGA-PBE.

Cell and atoms, written as CIF:
```
data_PrErRu2
_chemical_formula_sum 'Pr1 Er1 Ru2'
_space_group_name_H-M_alt 'P 4/m m m'
_space_group_IT_number 123
_space_group_name_Hall '-P 4 2'
_cell_length_a 3.449
_cell_length_b 3.449
_cell_length_c 6.918
_cell_angle_alpha 90.00
_cell_angle_beta 90.00
_cell_angle_gamma 90.00
loop_
_atom_site_label
_atom_site_type_symbol
_atom_site_fract_x
_atom_site_fract_y
_atom_site_fract_z
Pr1 Pr 0.000 0.000 0.000
Er1 Er 0.000 0.000 0.500
Ru1 Ru 0.500 0.500 0.261
```

N(E_F)   1.227 states/eV/atom
E_form   -0.1827 eV/atom


A geometry-optimized Tl3Hg7Te structure, computed with GGA-PBE.

Cell and atoms, written as CIF:
```
data_Tl3Hg7Te
_chemical_formula_sum 'Tl12 Hg28 Te4'
_space_group_name_H-M_alt 'C 1 2/c 1'
_space_group_IT_number 15
_space_group_name_Hall '-C 2yc'
_cell_length_a 3.342
_cell_length_b 24.212
_cell_length_c 16.743
_cell_angle_alpha 90.00
_cell_angle_beta 93.45
_cell_angle_gamma 90.00
loop_
_atom_site_label
_atom_site_type_symbol
_atom_site_fract_x
_atom_site_fract_y
_atom_site_fract_z
Tl1 Tl 0.000 0.046 0.250
Tl2 Tl 0.020 0.186 0.443
Hg1 Hg 0.000 0.106 0.750
Hg2 Hg 0.007 0.310 0.134
Hg3 Hg 0.008 0.434 0.922
Hg4 Hg 0.056 0.054 0.585
Te1 Te 0.000 0.179 0.250
```

Formation energy (no corrections)   -0.025 eV/atom
N(E_F)   0.218 states/eV/atom


A geometry-optimized V3Si23 structure, computed with GGA-PBE.

Cell and atoms, written as CIF:
```
data_V3Si23
_chemical_formula_sum 'V6 Si46'
_space_group_name_H-M_alt 'P m -3 n'
_space_group_IT_number 223
_space_group_name_Hall '-P 4n 2 3'
_cell_length_a 10.132
_cell_length_b 10.132
_cell_length_c 10.132
_cell_angle_alpha 90.00
_cell_angle_beta 90.00
_cell_angle_gamma 90.00
loop_
_atom_site_label
_atom_site_type_symbol
_atom_site_fract_x
_atom_site_fract_y
_atom_site_fract_z
V1 V 0.000 0.250 0.500
Si1 Si 0.000 0.310 0.116
Si2 Si 0.000 0.500 0.250
Si3 Si 0.184 0.184 0.184
```

Formation energy (no corrections)   0.413 eV/atom
N(E_F)   1.040 states/eV/atom


A geometry-optimized BaTlVS4 structure, computed with GGA-PBE.

Cell and atoms, written as CIF:
```
data_BaTlVS4
_chemical_formula_sum 'Ba2 Tl2 V2 S8'
_space_group_name_H-M_alt 'P 1 21/m 1'
_space_group_IT_number 11
_space_group_name_Hall '-P 2yb'
_cell_length_a 7.102
_cell_length_b 6.745
_cell_length_c 9.009
_cell_angle_alpha 90.00
_cell_angle_beta 105.95
_cell_angle_gamma 90.00
loop_
_atom_site_label
_atom_site_type_symbol
_atom_site_fract_x
_atom_site_fract_y
_atom_site_fract_z
Ba1 Ba 0.237 0.250 0.047
Tl1 Tl 0.258 0.250 0.555
V1 V 0.201 0.750 0.796
S1 S 0.008 0.003 0.743
S2 S 0.353 0.750 0.040
S3 S 0.399 0.750 0.655
```

Formation energy (no corrections)   -1.141 eV/atom
N(E_F)   0.000 states/eV/atom


A geometry-optimized Nd2Th3Se6 structure, computed with GGA-PBE.

Cell and atoms, written as CIF:
```
data_Nd2Th3Se6
_chemical_formula_sum 'Nd4 Th6 Se12'
_space_group_name_H-M_alt 'C 1 2/m 1'
_space_group_IT_number 12
_space_group_name_Hall '-C 2y'
_cell_length_a 7.198
_cell_length_b 12.542
_cell_length_c 7.303
_cell_angle_alpha 90.00
_cell_angle_beta 109.39
_cell_angle_gamma 90.00
loop_
_atom_site_label
_atom_site_type_symbol
_atom_site_fract_x
_atom_site_fract_y
_atom_site_fract_z
Nd1 Nd 0.000 0.167 0.000
Th1 Th 0.000 0.000 0.500
Th2 Th 0.000 0.333 0.500
Se1 Se 0.241 0.500 0.757
Se2 Se 0.242 0.339 0.244
```

Formation energy (no corrections)   -1.712 eV/atom
N(E_F)   0.536 states/eV/atom


Number 1: uncorrected energy -16.00 eV/cell. Number 2: uncorrected energy -83.78 eV/cell. Number 3: uncorrected energy -57.82 eV/cell. Number 4: uncorrected energy -199.42 eV/cell. Number 5: uncorrected energy -38.58 eV/cell. Number 6: uncorrected energy -88.37 eV/cell. Number 7: uncorrected energy -16.31 eV/cell. Number 8: uncorrected energy -154.76 eV/cell. Number 9: uncorrected energy -140.96 eV/cell. Number 10: uncorrected energy -27.13 eV/cell. Number 11: uncorrected energy -43.29 eV/cell. Number 12: uncorrected energy -29.30 eV/cell. Number 13: uncorrected energy -15.57 eV/cell. Number 14: uncorrected energy -235.90 eV/cell. Number 15: uncorrected energy -97.17 eV/cell. Number 16: uncorrected energy -28.62 eV/cell. Number 17: uncorrected energy -50.51 eV/cell. Number 18: uncorrected energy -282.72 eV/cell. Number 19: uncorrected energy -75.81 eV/cell. Number 20: uncorrected energy -143.08 eV/cell.